Crystalline ScTaBe2 at its relaxed geometry. Source: Alexandria, functional PBE.

Unit cell a=4.315 b=4.315 c=4.315 alpha=60.00 beta=60.00 gamma=60.00
Sites, in units of the cell vectors:
Ta  0.500  0.500  0.500
Sc  0.000  0.000  0.000
Be  0.250  0.250  0.250
Be  0.750  0.750  0.750

## Properties
Distance to the lowest polymorph of the same formula: 54 meV/atom
Density of states at the Fermi level: 0.39 states/eV per atom
E: -6.358 eV per atom